(1)
Compound: Ga2WBr
Source: Alexandria
Functional: GGA-PBE
Structure: relaxed

Cell: 7.5209 7.5209 7.5209 Å, 131.18 131.18 71.52°
With the nearest neighbours (Å) after each atom.
Atoms (fractional coordinates):
Ga (0.0771, 0.6250, 0.9521)  2 W 2.51
Ga (0.3750, 0.3271, 0.4521)  2 W 2.51
Ga (0.6729, 0.1250, 0.0479)  2 W 2.51
Ga (0.8750, 0.9229, 0.5479)  2 W 2.51
W (0.0000, 0.0000, 0.0000)  4 Ga 2.51
W (0.7500, 0.2500, 0.5000)  4 Ga 2.51
Br (0.2500, 0.7500, 0.5000)  4 Ga 2.86
Br (0.5000, 0.5000, 0.0000)  4 Ga 2.86

Results
- raw formation energy (kJ/mol of formula units) = 394

(2)
Compound: LaCoHgTe2
Source: Alexandria
Functional: GGA-PBE
Structure: relaxed

Cell: 5.1395 5.1395 5.0492 Å, 90.00 90.00 90.00°
With the nearest neighbours (Å) after each atom.
Atoms (fractional coordinates):
La (0.0000, 0.0000, 0.0000)  2 Co 2.52
Co (0.0000, 0.0000, 0.5000)  2 La 2.52, 4 Te 2.57
Hg (0.5000, 0.5000, 0.0000)  8 Te 3.60, 4 La 3.63
Te (0.0000, 0.5000, 0.5000)  2 Co 2.57
Te (0.5000, 0.0000, 0.5000)  2 Co 2.57

Results
- raw formation energy (kJ/mol of formula units) = -186

(3)
Compound: TiSb2TeS
Source: Alexandria
Functional: GGA-PBE
Structure: relaxed

Cell: 5.2545 5.2545 5.0936 Å, 90.00 90.00 90.00°
With the nearest neighbours (Å) after each atom.
Atoms (fractional coordinates):
Ti (0.0000, 0.0000, 0.0000)  2 Te 2.55, 4 Sb 2.63
Sb (0.0000, 0.5000, 0.0000)  2 Ti 2.63
Sb (0.5000, 0.0000, 0.0000)  2 Ti 2.63
Te (0.0000, 0.0000, 0.5000)  2 Ti 2.55
S (0.5000, 0.5000, 0.5000)  8 Sb 3.66, 4 Te 3.72

Results
- raw formation energy (kJ/mol of formula units) = 147

(4)
Compound: Ce2NdRu
Source: Alexandria
Functional: GGA-PBE
Structure: relaxed

Cell: 14.2642 9.5517 6.2776 Å, 90.00 90.00 90.00°
With the nearest neighbours (Å) after each atom.
Atoms (fractional coordinates):
Ce (0.0378, 0.0600, 0.2452)  2 Ru 2.62-2.81
Ce (0.0378, 0.4400, 0.2452)  2 Ru 2.62-2.81
Ce (0.2119, 0.5633, 0.9388)  2 Ru 2.61-2.78
Ce (0.2119, 0.9367, 0.9388)  2 Ru 2.61-2.78
Ce (0.2881, 0.0633, 0.4388)  2 Ru 2.61-2.78
Ce (0.2881, 0.4367, 0.4388)  2 Ru 2.61-2.78
Ce (0.4622, 0.5600, 0.7452)  2 Ru 2.62-2.81
Ce (0.4622, 0.9400, 0.7452)  2 Ru 2.62-2.81
Ce (0.5378, 0.0600, 0.2548)  2 Ru 2.62-2.81
Ce (0.5378, 0.4400, 0.2548)  2 Ru 2.62-2.81
Ce (0.7119, 0.5633, 0.5612)  2 Ru 2.61-2.78
Ce (0.7119, 0.9367, 0.5612)  2 Ru 2.61-2.78
Ce (0.7881, 0.0633, 0.0612)  2 Ru 2.61-2.78
Ce (0.7881, 0.4367, 0.0612)  2 Ru 2.61-2.78
Ce (0.9622, 0.5600, 0.7548)  2 Ru 2.62-2.81
Ce (0.9622, 0.9400, 0.7548)  2 Ru 2.62-2.81
Nd (0.1006, 0.2500, 0.7332)  3 Ru 3.17-3.31
Nd (0.1463, 0.7500, 0.4560)  3 Ru 3.14-3.36
Nd (0.3537, 0.2500, 0.9560)  3 Ru 3.14-3.36
Nd (0.3994, 0.7500, 0.2332)  3 Ru 3.17-3.31
Nd (0.6006, 0.2500, 0.7668)  3 Ru 3.17-3.31
Nd (0.6463, 0.7500, 0.0440)  3 Ru 3.14-3.36
Nd (0.8537, 0.2500, 0.5440)  3 Ru 3.14-3.36
Nd (0.8994, 0.7500, 0.2668)  3 Ru 3.17-3.31
Ru (0.0794, 0.7500, 0.9700)  4 Ce 2.61-2.81
Ru (0.1698, 0.2500, 0.2301)  4 Ce 2.62-2.78
Ru (0.3302, 0.7500, 0.7301)  4 Ce 2.62-2.78
Ru (0.4206, 0.2500, 0.4700)  4 Ce 2.61-2.81
Ru (0.5794, 0.7500, 0.5300)  4 Ce 2.61-2.81
Ru (0.6698, 0.2500, 0.2699)  4 Ce 2.62-2.78
Ru (0.8302, 0.7500, 0.7699)  4 Ce 2.62-2.78
Ru (0.9206, 0.2500, 0.0300)  4 Ce 2.61-2.81

Results
- calculated formation energy (meV/atom) = -210

(5)
Compound: CsRb2TmCl6
Source: Alexandria
Functional: GGA-PBE
Structure: relaxed

Cell: 7.8726 8.3453 13.6206 Å, 90.00 124.55 90.00°
With the nearest neighbours (Å) after each atom.
Atoms (fractional coordinates):
Cs (0.0000, 0.0000, 0.0000)  6 Cl 3.37-3.52
Cs (0.0000, 0.5000, 0.5000)  6 Cl 3.37-3.52
Rb (0.2157, 0.0703, 0.7437)  6 Cl 3.32-3.62
Rb (0.2157, 0.4297, 0.2437)  6 Cl 3.32-3.62
Rb (0.7843, 0.5703, 0.7563)  6 Cl 3.32-3.62
Rb (0.7843, 0.9297, 0.2563)  6 Cl 3.32-3.62
Tm (0.5000, 0.0000, 0.5000)  6 Cl 2.61-2.64
Tm (0.5000, 0.5000, 0.0000)  6 Cl 2.61-2.64
Cl (0.1772, 0.1693, 0.4432)  1 Tm 2.61
Cl (0.1772, 0.3307, 0.9432)  1 Tm 2.61
Cl (0.2658, 0.7419, 0.4174)  1 Tm 2.64
Cl (0.2658, 0.7581, 0.9174)  1 Tm 2.64
Cl (0.4221, 0.0630, 0.2893)  1 Tm 2.63
Cl (0.4221, 0.4370, 0.7893)  1 Tm 2.63
Cl (0.5779, 0.5630, 0.2107)  1 Tm 2.63
Cl (0.5779, 0.9370, 0.7107)  1 Tm 2.63
Cl (0.7342, 0.2419, 0.0826)  1 Tm 2.64
Cl (0.7342, 0.2581, 0.5826)  1 Tm 2.64
Cl (0.8228, 0.6693, 0.0568)  1 Tm 2.61
Cl (0.8228, 0.8307, 0.5568)  1 Tm 2.61

Results
- raw formation energy (kJ/mol of formula units) = -2069

(6)
Compound: PrEr2Ag2Pb2
Source: Alexandria
Functional: GGA-PBE
Structure: relaxed

Cell: 9.2260 9.2260 9.2260 Å, 31.11 31.11 31.11°
With the nearest neighbours (Å) after each atom.
Atoms (fractional coordinates):
Pr (0.0000, 0.0000, 0.0000)  6 Pb 3.39, 2 Er 3.54
Er (0.1346, 0.1346, 0.1346)  3 Ag 2.93
Er (0.8654, 0.8654, 0.8654)  3 Ag 2.93
Ag (0.4436, 0.4436, 0.4436)  3 Er 2.93, 1 Ag 2.97, 3 Pb 3.05
Ag (0.5564, 0.5564, 0.5564)  3 Er 2.93, 1 Ag 2.97, 3 Pb 3.05
Pb (0.2641, 0.2641, 0.2641)  3 Ag 3.05, 4 Er 3.33-3.41, 3 Pr 3.39
Pb (0.7359, 0.7359, 0.7359)  3 Ag 3.05, 4 Er 3.33-3.41, 3 Pr 3.39

Results
- calculated formation energy (meV/atom) = -319

(7)
Compound: Dy2RhPb
Source: Alexandria
Functional: GGA-PBE
Structure: relaxed

Cell: 4.9261 4.9261 3.9396 Å, 90.00 90.00 90.00°
With the nearest neighbours (Å) after each atom.
Atoms (fractional coordinates):
Dy (0.0000, 0.5000, 0.0000)  4 Pb 3.15, 4 Rh 3.15, 4 Dy 3.48
Dy (0.5000, 0.0000, 0.0000)  4 Pb 3.15, 4 Rh 3.15, 4 Dy 3.48
Rh (0.0000, 0.0000, 0.5000)  8 Dy 3.15, 4 Pb 3.48
Pb (0.5000, 0.5000, 0.5000)  8 Dy 3.15, 4 Rh 3.48

Results
- calculated formation energy (meV/atom) = -537

(8)
Compound: Mg2ZrTl2
Source: Alexandria
Functional: GGA-PBE
Structure: relaxed

Cell: 8.3154 8.3154 3.3886 Å, 90.00 90.00 90.00°
With the nearest neighbours (Å) after each atom.
Atoms (fractional coordinates):
Mg (0.1502, 0.3498, 0.0000)  6 Tl 2.88-3.03
Mg (0.3498, 0.8498, 0.0000)  6 Tl 2.88-3.03
Mg (0.6502, 0.1502, 0.0000)  6 Tl 2.88-3.03
Mg (0.8498, 0.6502, 0.0000)  6 Tl 2.88-3.03
Zr (0.0000, 0.0000, 0.5000)  4 Tl 3.16, 2 Zr 3.39
Zr (0.5000, 0.5000, 0.5000)  4 Tl 3.16, 2 Zr 3.39
Tl (0.1515, 0.6515, 0.5000)  6 Mg 2.88-3.03, 2 Zr 3.16
Tl (0.3485, 0.1515, 0.5000)  6 Mg 2.88-3.03, 2 Zr 3.16
Tl (0.6515, 0.8485, 0.5000)  6 Mg 2.88-3.03, 2 Zr 3.16
Tl (0.8485, 0.3485, 0.5000)  6 Mg 2.88-3.03, 2 Zr 3.16

Results
- calculated formation energy (meV/atom) = 63

(9)
Compound: DyTh2Ru
Source: Alexandria
Functional: GGA-PBE
Structure: relaxed

Cell: 3.9460 3.9460 9.2774 Å, 102.40 102.40 59.91°
With the nearest neighbours (Å) after each atom.
Atoms (fractional coordinates):
Dy (0.0000, 0.0000, 0.0000)  6 Th 3.64-3.66, 6 Dy 3.94-3.95
Th (0.2272, 0.2272, 0.6816)  3 Ru 2.79
Th (0.4387, 0.4387, 0.3166)  3 Ru 2.82
Ru (0.8341, 0.8341, 0.5017)  6 Th 2.79-2.82

Results
- calculated formation energy (meV/atom) = -148

(10)
Compound: RbIN2O
Source: Alexandria
Functional: GGA-PBE
Structure: relaxed

Cell: 4.1842 4.1842 4.3906 Å, 90.00 90.00 90.00°
With the nearest neighbours (Å) after each atom.
Atoms (fractional coordinates):
Rb (0.0000, 0.0000, 0.0000)  4 O 2.96, 8 N 3.03
I (0.5000, 0.5000, 0.5000)  4 N 2.09, 2 O 2.20
N (0.0000, 0.5000, 0.5000)  2 I 2.09
N (0.5000, 0.0000, 0.5000)  2 I 2.09
O (0.5000, 0.5000, 0.0000)  2 I 2.20

Results
- raw formation energy (kJ/mol of formula units) = 506

(11)
Compound: HfMnPb
Source: Alexandria
Functional: GGA-PBE
Structure: relaxed

Cell: 5.1970 3.5271 6.9346 Å, 90.00 101.53 90.00°
With the nearest neighbours (Å) after each atom.
Atoms (fractional coordinates):
Hf (0.1469, 0.2500, 0.1807)  4 Mn 2.65-2.94
Hf (0.8531, 0.7500, 0.8193)  4 Mn 2.65-2.94
Mn (0.3700, 0.7500, 0.9796)  2 Mn 2.21
Mn (0.6300, 0.2500, 0.0204)  2 Mn 2.21
Pb (0.2909, 0.2500, 0.6440)  3 Mn 2.84-2.88, 1 Hf 3.15
Pb (0.7091, 0.7500, 0.3560)  3 Mn 2.84-2.88, 1 Hf 3.15

Results
- calculated formation energy (meV/atom) = 122

(12)
Compound: Ba4CaTl
Source: Alexandria
Functional: GGA-PBE
Structure: relaxed

Cell: 4.3537 4.3537 16.5748 Å, 90.00 90.00 90.00°
With the nearest neighbours (Å) after each atom.
Atoms (fractional coordinates):
Ba (0.0000, 0.0000, 0.1217)  4 Tl 3.68, 1 Ba 4.04
Ba (0.0000, 0.0000, 0.8783)  4 Tl 3.68, 1 Ba 4.04
Ba (0.5000, 0.5000, 0.3322)  4 Ca 4.15, 4 Ba 4.35
Ba (0.5000, 0.5000, 0.6678)  4 Ca 4.15, 4 Ba 4.35
Ca (0.0000, 0.0000, 0.5000)  8 Ba 4.15, 4 Ca 4.35
Tl (0.5000, 0.5000, 0.0000)  8 Ba 3.68

Results
- calculated formation energy (meV/atom) = -127

(13)
Compound: LiCuNi
Source: Alexandria
Functional: GGA-PBE
Structure: relaxed

Cell: 4.9986 2.4776 6.1024 Å, 90.00 101.94 90.00°
With the nearest neighbours (Å) after each atom.
Atoms (fractional coordinates):
Li (0.2323, 0.2500, 0.4746)  4 Li 2.48-2.71, 3 Cu 2.55-2.63, 3 Ni 2.59-2.63
Li (0.7677, 0.7500, 0.5254)  4 Li 2.48-2.71, 3 Cu 2.55-2.63, 3 Ni 2.59-2.63
Cu (0.4181, 0.7500, 0.1567)  4 Cu 2.48-2.55, 4 Ni 2.49-2.52, 3 Li 2.55-2.63
Cu (0.5819, 0.2500, 0.8433)  4 Cu 2.48-2.55, 4 Ni 2.49-2.52, 3 Li 2.55-2.63
Ni (0.0890, 0.2500, 0.8591)  4 Ni 2.43-2.48, 4 Cu 2.49-2.52, 3 Li 2.59-2.63
Ni (0.9110, 0.7500, 0.1409)  4 Ni 2.43-2.48, 4 Cu 2.49-2.52, 3 Li 2.59-2.63

Results
- calculated formation energy (meV/atom) = 51

(14)
Compound: CaYNp2As4
Source: Alexandria
Functional: GGA-PBE
Structure: relaxed

Cell: 7.1740 4.1349 7.1883 Å, 90.00 109.40 90.00°
With the nearest neighbours (Å) after each atom.
Atoms (fractional coordinates):
Ca (0.0000, 0.0000, 0.0000)  6 As 2.98-2.99
Y (0.0000, 0.5000, 0.5000)  6 As 2.94-2.95
Np (0.5000, 0.0000, 0.5000)  6 As 2.87-2.88
Np (0.5000, 0.5000, 0.0000)  6 As 2.91
As (0.2566, 0.0000, 0.7487)  3 Np 2.88-2.91, 2 Y 2.94, 1 Ca 2.98
As (0.2623, 0.5000, 0.2586)  3 Np 2.87-2.91, 1 Y 2.95, 2 Ca 2.99
As (0.7377, 0.5000, 0.7414)  3 Np 2.87-2.91, 1 Y 2.95, 2 Ca 2.99
As (0.7434, 0.0000, 0.2513)  3 Np 2.88-2.91, 2 Y 2.94, 1 Ca 2.98

Results
- calculated formation energy (meV/atom) = -981

(15)
Compound: HoZrGaCu
Source: Alexandria
Functional: GGA-PBE
Structure: relaxed

Cell: 4.8329 4.8329 4.8329 Å, 60.00 60.00 60.00°
With the nearest neighbours (Å) after each atom.
Atoms (fractional coordinates):
Ho (0.0000, 0.0000, 0.0000)  4 Cu 2.96, 4 Ga 2.96
Zr (0.5000, 0.5000, 0.5000)  4 Ga 2.96, 4 Cu 2.96
Ga (0.2500, 0.2500, 0.2500)  4 Zr 2.96, 4 Ho 2.96
Cu (0.7500, 0.7500, 0.7500)  4 Zr 2.96, 4 Ho 2.96

Results
- calculated formation energy (meV/atom) = -317

(16)
Compound: Ba2TlSb3Pd4
Source: Alexandria
Functional: GGA-PBE
Structure: relaxed

Cell: 4.8088 4.8088 10.9250 Å, 90.00 90.00 90.00°
With the nearest neighbours (Å) after each atom.
Atoms (fractional coordinates):
Ba (0.0000, 0.5000, 0.2428)  8 Pd 3.58-3.66, 7 Sb 3.65-3.97, 2 Tl 3.70
Ba (0.5000, 0.0000, 0.7572)  8 Pd 3.58-3.66, 7 Sb 3.65-3.97, 2 Tl 3.70
Tl (0.0000, 0.0000, 0.5000)  4 Pd 2.81
Sb (0.0000, 0.5000, 0.8795)  5 Pd 2.69-2.74
Sb (0.5000, 0.0000, 0.1205)  5 Pd 2.69-2.74
Sb (0.5000, 0.5000, 0.5000)  4 Pd 2.81
Pd (0.0000, 0.0000, 0.0000)  4 Sb 2.74
Pd (0.0000, 0.5000, 0.6332)  3 Sb 2.69-2.81, 2 Tl 2.81
Pd (0.5000, 0.0000, 0.3668)  3 Sb 2.69-2.81, 2 Tl 2.81
Pd (0.5000, 0.5000, 0.0000)  4 Sb 2.74

Results
- raw formation energy (kJ/mol of formula units) = -697

(17)
Compound: Sm5In2Os2
Source: Alexandria
Functional: GGA-PBE
Structure: relaxed

Cell: 9.1509 9.1509 7.8088 Å, 90.00 90.00 49.00°
With the nearest neighbours (Å) after each atom.
Atoms (fractional coordinates):
Sm (0.0000, 0.0000, 0.0000)  4 Os 3.09-3.10, 4 Sm 3.43
Sm (0.0633, 0.6975, 0.6817)  3 Os 2.98-3.13, 3 In 3.28-3.33
Sm (0.1975, 0.5633, 0.1817)  3 Os 2.98-3.13, 3 In 3.28-3.33
Sm (0.3025, 0.9367, 0.6817)  3 Os 2.98-3.13, 3 In 3.28-3.33
Sm (0.4367, 0.8025, 0.1817)  3 Os 2.98-3.13, 3 In 3.28-3.33
Sm (0.5000, 0.5000, 0.5000)  4 Os 3.09-3.10, 4 Sm 3.43
Sm (0.5633, 0.1975, 0.8183)  3 Os 2.98-3.13, 3 In 3.28-3.33
Sm (0.6975, 0.0633, 0.3183)  3 Os 2.98-3.13, 3 In 3.28-3.33
Sm (0.8025, 0.4367, 0.8183)  3 Os 2.98-3.13, 3 In 3.28-3.33
Sm (0.9367, 0.3025, 0.3183)  3 Os 2.98-3.13, 3 In 3.28-3.33
In (0.2236, 0.2236, 0.0000)  6 Sm 3.28-3.33
In (0.2764, 0.2764, 0.5000)  6 Sm 3.28-3.33
In (0.7236, 0.7236, 0.5000)  6 Sm 3.28-3.33
In (0.7764, 0.7764, 0.0000)  6 Sm 3.28-3.33
Os (0.1099, 0.8901, 0.3810)  1 Os 2.50
Os (0.3901, 0.6099, 0.8810)  1 Os 2.50
Os (0.6099, 0.3901, 0.1190)  1 Os 2.50
Os (0.8901, 0.1099, 0.6190)  1 Os 2.50

Results
- calculated formation energy (meV/atom) = -247

(18)
Compound: PmLuOsPt
Source: Alexandria
Functional: GGA-PBE
Structure: relaxed

Cell: 4.8894 4.8894 4.8894 Å, 60.00 60.00 60.00°
With the nearest neighbours (Å) after each atom.
Atoms (fractional coordinates):
Pm (0.0000, 0.0000, 0.0000)  4 Os 2.99, 4 Pt 2.99
Lu (0.5000, 0.5000, 0.5000)  4 Os 2.99, 4 Pt 2.99
Os (0.7500, 0.7500, 0.7500)  4 Pm 2.99, 4 Lu 2.99
Pt (0.2500, 0.2500, 0.2500)  4 Lu 2.99, 4 Pm 2.99

Results
- calculated formation energy (meV/atom) = -595

(19)
Compound: BiPb4Se5
Source: Alexandria
Functional: GGA-PBE
Structure: relaxed

Cell: 15.7356 15.7356 15.7356 Å, 163.95 163.95 22.77°
With the nearest neighbours (Å) after each atom.
Atoms (fractional coordinates):
Bi (0.0000, 0.0000, 0.0000)  6 Se 3.02-3.11
Pb (0.2004, 0.2004, 0.0000)  6 Se 3.06-3.16
Pb (0.4003, 0.4003, 0.0000)  6 Se 3.07-3.11
Pb (0.5997, 0.5997, 0.0000)  6 Se 3.07-3.11
Pb (0.7996, 0.7996, 0.0000)  6 Se 3.06-3.16
Se (0.0979, 0.0979, 0.0000)  1 Bi 3.02, 5 Pb 3.11-3.16
Se (0.2995, 0.2995, 0.0000)  6 Pb 3.06-3.11
Se (0.5000, 0.5000, 0.0000)  2 Pb 3.07, 4 Bi 3.11
Se (0.7005, 0.7005, 0.0000)  6 Pb 3.06-3.11
Se (0.9021, 0.9021, 0.0000)  1 Bi 3.02, 5 Pb 3.11-3.16

Results
- raw formation energy (kJ/mol of formula units) = -466

(20)
Compound: LiCd2Pt
Source: Alexandria
Functional: GGA-PBE
Structure: relaxed

Cell: 4.6273 4.6273 4.6273 Å, 60.11 60.11 60.11°
With the nearest neighbours (Å) after each atom.
Atoms (fractional coordinates):
Li (0.0000, 0.0000, 0.0000)  4 Pt 2.83-2.84, 4 Cd 2.83-2.84
Cd (0.4999, 0.4999, 0.4999)  4 Pt 2.83-2.84, 4 Cd 2.83-2.84
Cd (0.7501, 0.7501, 0.7501)  4 Li 2.83-2.84, 4 Cd 2.83-2.84
Pt (0.2499, 0.2499, 0.2499)  4 Li 2.83-2.84, 4 Cd 2.83-2.84

Results
- calculated formation energy (meV/atom) = -325

Number 1: total magnetic moment 1.89 μB/cell. Number 2: total magnetic moment 0.00 μB/cell. Number 3: total magnetic moment 0.00 μB/cell. Number 4: total magnetic moment 0.00 μB/cell. Number 5: total magnetic moment 0.00 μB/cell. Number 6: total magnetic moment 0.00 μB/cell. Number 7: total magnetic moment 0.00 μB/cell. Number 8: total magnetic moment 0.00 μB/cell. Number 9: total magnetic moment 0.00 μB/cell. Number 10: total magnetic moment 0.49 μB/cell. Number 11: total magnetic moment 0.00 μB/cell. Number 12: total magnetic moment 0.00 μB/cell. Number 13: total magnetic moment 0.23 μB/cell. Number 14: total magnetic moment 0.27 μB/cell. Number 15: total magnetic moment 0.67 μB/cell. Number 16: total magnetic moment 0.00 μB/cell. Number 17: total magnetic moment 0.00 μB/cell. Number 18: total magnetic moment 0.00 μB/cell. Number 19: total magnetic moment 0.00 μB/cell. Number 20: total magnetic moment 0.00 μB/cell.